Record 1
## CaAc7La2 (PBE-GGA)

Data for a relaxed CaAc7La2 crystal.

Properties
- ΔE_f (eV/f.u.) = 5.23

a = 10.1452 Å, b = 16.7993 Å, c = 6.1232 Å
α = 90.00°, β = 90.00°, γ = 90.00°
Closest atoms and distances in Å follow each position.
Space group Cmmm (No. 65)
Asymmetric unit:
Ca1 0.0000 0.0000 0.0000  10 Ac 4.13-4.17
Ac1 0.0000 0.2460 0.0000  2 La 3.20
Ac2 0.0000 0.5000 0.5000  2 La 3.35
Ac3 0.1871 0.1249 0.5000  2 La 3.41-3.51, 2 Ac 3.80-3.81
La1 0.0000 0.3004 0.5000  7 Ac 3.20-3.51

=====

Record 2
## Ce7Si5Ge (PBE-GGA)

Data for a relaxed Ce7Si5Ge crystal.

Properties
- E_form (uncorrected) (meV/atom) = -444

a = 5.9130 Å, b = 10.5499 Å, c = 10.0527 Å
α = 90.00°, β = 90.00°, γ = 90.00°
Closest atoms and distances in Å follow each position.
Space group Imm2 (No. 44)
Asymmetric unit:
Ce1 0.0000 0.0000 0.0000  1 Ge 3.02, 4 Si 3.15, 2 Ce 3.27
Ce2 0.0000 0.0000 0.4068  1 Ge 2.94, 6 Si 2.96-3.00
Ce3 0.0000 0.2984 0.7042  5 Si 2.95-2.98, 1 Ge 3.15
Ce4 0.0000 0.3360 0.1475  1 Ce 2.76, 3 Si 2.91-2.97
Ce5 0.0000 0.5000 0.3618  2 Ce 2.76, 4 Si 2.93
Si1 0.0000 0.5000 0.9071  6 Ce 2.95-2.97, 4 Si 3.24
Si2 0.2069 0.2585 0.4367  1 Si 2.45
Ge1 0.0000 0.0000 0.6994  4 Ce 2.94-3.15

=====

Record 3
## LiCrSCl2 (PBE-GGA)

Data for a relaxed LiCrSCl2 crystal.

Properties
- relative energy among the computed polymorphs (eV per formula unit) = 3.25
- E_form (uncorrected) (meV/atom) = -146

a = 4.5047 Å, b = 4.5047 Å, c = 4.8269 Å
α = 90.00°, β = 90.00°, γ = 90.00°
Closest atoms and distances in Å follow each position.
Space group P4/mmm (No. 123)
Asymmetric unit:
Li1 0.0000 0.0000 0.0000  4 Cl 2.25, 2 S 2.41
Cr1 0.5000 0.5000 0.5000  4 S 3.19, 8 Cl 3.30
S1 0.0000 0.0000 0.5000  2 Li 2.41
Cl1 0.0000 0.5000 0.0000  2 Li 2.25

=====

Record 4
## RbGaHg2Au (PBE-GGA)

Data for a relaxed RbGaHg2Au crystal.

Properties
- relative energy among the computed polymorphs (eV per formula unit) = 0.00
- ΔE_f (eV/f.u.) = -0.81

a = 5.4884 Å, b = 5.4884 Å, c = 5.1334 Å
α = 90.00°, β = 90.00°, γ = 90.00°
Closest atoms and distances in Å follow each position.
Space group P4/mmm (No. 123)
Asymmetric unit:
Rb1 0.0000 0.0000 0.0000  8 Hg 3.76, 4 Au 3.88
Ga1 0.5000 0.5000 0.5000  2 Au 2.57, 4 Hg 2.74
Hg1 0.0000 0.5000 0.5000  2 Ga 2.74
Au1 0.5000 0.5000 0.0000  2 Ga 2.57

=====

Record 5
## Li7IN2 (PBE-GGA)

Data for a relaxed Li7IN2 crystal.

Properties
- relative energy among the computed polymorphs (eV per formula unit) = 0.00
- E_form (uncorrected) (meV/atom) = -543

a = 12.7425 Å, b = 7.3753 Å, c = 7.3592 Å
α = 90.00°, β = 125.12°, γ = 90.00°
Closest atoms and distances in Å follow each position.
Space group Cm (No. 8)
Asymmetric unit:
Li1 0.0000 0.0000 0.0000  4 N 2.03-2.17, 4 Li 2.10-2.15
Li2 0.0258 0.2431 0.2170  2 N 2.02
Li3 0.0607 0.0000 0.5772  2 N 1.97-1.98
Li4 0.2062 0.0000 0.2211  2 N 2.02-2.06, 1 Li 2.15
Li5 0.2410 0.1728 0.5858  2 N 2.03
Li6 0.2417 0.1806 0.9389  2 N 1.97-1.98
Li7 0.2832 0.5000 0.7300  2 N 2.02
Li8 0.3830 0.5000 0.1153  2 Li 2.10-2.35, 3 N 2.30
Li9 0.4140 0.0000 0.9312  2 N 2.03
Li10 0.4927 0.2859 0.7939  2 N 2.02-2.06, 1 Li 2.15
I1 0.2248 0.5000 0.2735  4 Li 2.85-3.00
I2 0.4857 0.0000 0.5131  6 Li 2.91-3.16
N1 0.1036 0.0000 0.3580  7 Li 1.98-2.16
N2 0.1128 0.0000 0.8870  7 Li 1.97-2.03
N3 0.3727 0.2691 0.8961  7 Li 1.98-2.17

=====

Record 6
## CrCoC2 (PBE-GGA)

Data for a relaxed CrCoC2 crystal.

Properties
- ΔE_f (eV/f.u.) = 3.68

a = 4.9989 Å, b = 4.9989 Å, c = 4.9989 Å
α = 90.00°, β = 90.00°, γ = 90.00°
Closest atoms and distances in Å follow each position.
Space group Fm-3m (No. 225)
Asymmetric unit:
Cr1 0.0000 0.0000 0.0000  8 C 2.16
Co1 0.0000 0.0000 0.5000  8 C 2.16
C1 0.2500 0.2500 0.2500  4 Cr 2.16, 4 Co 2.16

=====

Record 7
## BaNi2Br (PBE-GGA)

Data for a relaxed BaNi2Br crystal.

Properties
- relative energy among the computed polymorphs (eV per formula unit) = 1.94
- E_form (uncorrected) (meV/atom) = 317

a = 7.2578 Å, b = 7.2578 Å, c = 7.2578 Å
α = 90.00°, β = 90.00°, γ = 90.00°
Closest atoms and distances in Å follow each position.
Space group F-43m (No. 216)
Asymmetric unit:
Ba1 0.0000 0.0000 0.0000  4 Br 3.14, 4 Ni 3.14
Ni1 0.0000 0.0000 0.5000  4 Br 3.14, 4 Ni 3.14
Ni2 0.2500 0.2500 0.7500  4 Ba 3.14, 4 Ni 3.14
Br1 0.2500 0.2500 0.2500  4 Ba 3.14, 4 Ni 3.14

=====

Record 8
## Tb2Y3Tm (PBE-GGA)

Data for a relaxed Tb2Y3Tm crystal.

Properties
- relative energy among the computed polymorphs (eV per formula unit) = 0.58
- ΔE_f (eV/f.u.) = 0.72

a = 17.7333 Å, b = 3.4984 Å, c = 14.1486 Å
α = 90.00°, β = 117.46°, γ = 90.00°
Closest atoms and distances in Å follow each position.
Space group C2/m (No. 12)
Asymmetric unit:
Tb1 0.1575 0.0000 0.4696  5 Y 3.43-3.67, 4 Tb 3.46-3.50, 2 Tm 3.47-3.55
Tb2 0.1809 0.5000 0.8822  5 Y 3.37-3.50, 4 Tb 3.50-3.56, 2 Tm 3.52
Y1 0.0381 0.5000 0.2155  3 Tb 3.47-3.67, 8 Y 3.50-3.76, 2 Tm 3.69
Y2 0.0991 0.0000 0.0252  6 Y 3.25-3.60, 3 Tb 3.46-3.50
Y3 0.2397 0.0000 0.2929  4 Tb 3.37-3.47, 5 Y 3.44-3.67, 2 Tm 3.64
Tm1 0.0627 0.0000 0.6426  4 Tb 3.47-3.55, 3 Tm 3.50-3.60, 4 Y 3.64-3.69

=====

Let's list E_tot in order: -70.8 -158.1 -20.1 -8.7 -148.1 -126.0 -55.6 -129.6 eV for the cell shown.
Let's list calculated density in order: 6.07 6.32 2.74 8.09 2.39 7.18 5.81 6.43 g/cm³.